Arrangement P

3
Lattice="2.9593 0.0000 0.0000 -1.4797 2.5628 0.0000 0.0000 0.0000 7.1728" Properties=species:S:1:pos:R:3 comment="CaTcPt (PBE, relaxed)" crystal_system=trigonal pbc="T T T"
Ca 0.0000 0.0000 0.0000
Tc 1.4797 0.8543 4.6178
Pt 0.0000 1.7086 2.4883

Arrangement Q

3
Lattice="4.7306 0.0000 0.0000 -2.3653 4.0968 0.0000 0.0000 0.0000 2.8146" Properties=species:S:1:pos:R:3 comment="CaTcPt (PBE, relaxed)" crystal_system=hexagonal pbc="T T T"
Ca 0.0000 0.0000 0.0000
Tc 0.0000 2.7312 1.4073
Pt 2.3653 1.3656 1.4073

Arrangement R

3
Lattice="-1.4249 2.0120 5.2543 1.4249 -2.0120 5.2543 1.4249 2.0120 -5.2543" Properties=species:S:1:pos:R:3 comment="CaTcPt (PBE, relaxed)" crystal_system=orthorhombic pbc="T T T"
Ca 0.0000 0.0000 0.0000
Tc 0.0000 0.0000 7.5186
Pt 0.0000 0.0000 3.1262

Arrangement S

3
Lattice="0.0000 3.2037 3.2037 3.2037 0.0000 3.2037 3.2037 3.2037 0.0000" Properties=species:S:1:pos:R:3 comment="CaTcPt (PBE, relaxed)" crystal_system=cubic pbc="T T T"
Ca 0.0000 0.0000 0.0000
Tc 3.2037 3.2037 3.2037
Pt 1.6018 1.6018 1.6018

Most stable: arrangement R (next structure +10.6 kJ/mol of atoms)

Arrangement P

10
Lattice="7.4988 0.0000 0.0000 0.0000 7.4988 0.0000 0.0000 0.0000 4.1124" Properties=species:S:1:pos:R:3 comment="Ca2TePt2 (PBE, relaxed)" crystal_system=tetragonal pbc="T T T"
Ca 1.2855 2.4639 0.0000
Ca 2.4639 6.2133 0.0000
Ca 5.0350 1.2855 0.0000
Ca 6.2133 5.0350 0.0000
Te 0.0000 0.0000 2.0562
Te 3.7494 3.7494 2.0562
Pt 0.9704 4.7199 2.0562
Pt 2.7790 0.9704 2.0562
Pt 4.7199 6.5284 2.0562
Pt 6.5284 2.7790 2.0562

Arrangement Q

5
Lattice="-2.8249 2.8249 3.9896 2.8249 -2.8249 3.9896 2.8249 2.8249 -3.9896" Properties=species:S:1:pos:R:3 comment="Ca2TePt2 (PBE, relaxed)" crystal_system=tetragonal pbc="T T T"
Ca 2.8249 0.0000 1.9948
Ca 0.0000 2.8249 1.9948
Te 0.0000 0.0000 0.0000
Pt 0.0000 0.0000 2.7278
Pt 0.0000 0.0000 5.2515

Most stable: arrangement P (next structure +1.2 kJ/mol of atoms)

Arrangement P

5
Lattice="-2.1191 2.1191 6.6503 2.1191 -2.1191 6.6503 2.1191 2.1191 -6.6503" Properties=species:S:1:pos:R:3 comment="CaTe2Pt2 (PBE, relaxed)" crystal_system=tetragonal pbc="T T T"
Ca 0.0000 0.0000 0.0000
Te 0.0000 0.0000 5.0493
Te 0.0000 0.0000 8.2514
Pt 2.1191 0.0000 3.3252
Pt 0.0000 2.1191 3.3252

Arrangement Q

5
Lattice="-2.6339 2.6339 4.4363 2.6339 -2.6339 4.4363 2.6339 2.6339 -4.4363" Properties=species:S:1:pos:R:3 comment="CaTe2Pt2 (PBE, relaxed)" crystal_system=tetragonal pbc="T T T"
Ca 0.0000 0.0000 0.0000
Te 2.6339 0.0000 2.2182
Te 0.0000 2.6339 2.2182
Pt 0.0000 0.0000 2.9868
Pt 0.0000 0.0000 5.8858

Most stable: arrangement Q (next structure +9.4 kJ/mol of atoms)

Arrangement P

6
Lattice="2.5189 1.4543 8.1321 -2.5189 1.4543 8.1321 0.0000 -2.9086 8.1321" Properties=species:S:1:pos:R:3 comment="CaThPt (PBE, relaxed)" crystal_system=trigonal pbc="T T T"
Ca 0.0000 0.0000 3.1807
Ca 0.0000 0.0000 21.2156
Th 0.0000 0.0000 9.2493
Th 0.0000 0.0000 15.1470
Pt 0.0000 0.0000 6.3552
Pt 0.0000 0.0000 18.0411

Arrangement Q

3
Lattice="-1.8012 1.8012 6.6376 1.8012 -1.8012 6.6376 1.8012 1.8012 -6.6376" Properties=species:S:1:pos:R:3 comment="CaThPt (PBE, relaxed)" crystal_system=tetragonal pbc="T T T"
Ca 0.0000 0.0000 0.0000
Th 0.0000 0.0000 3.4954
Pt 0.0000 0.0000 8.6123

Arrangement R

3
Lattice="0.0000 3.5123 3.5123 3.5123 0.0000 3.5123 3.5123 3.5123 0.0000" Properties=species:S:1:pos:R:3 comment="CaThPt (PBE, relaxed)" crystal_system=cubic pbc="T T T"
Ca 0.0000 0.0000 0.0000
Th 3.5123 3.5123 3.5123
Pt 5.2684 5.2684 5.2684

Most stable: arrangement P (next structure +5.1 kJ/mol of atoms)

Arrangement P

4
Lattice="3.6300 0.0000 0.0000 0.0000 3.6300 0.0000 0.0000 0.0000 7.1961" Properties=species:S:1:pos:R:3 comment="CaThPt2 (PBE, relaxed)" crystal_system=tetragonal pbc="T T T"
Ca 0.0000 0.0000 0.0000
Th 0.0000 0.0000 3.5981
Pt 1.8150 1.8150 2.0051
Pt 1.8150 1.8150 5.1910

Arrangement Q

4
Lattice="0.0000 3.5672 3.5672 3.5672 0.0000 3.5672 3.5672 3.5672 0.0000" Properties=species:S:1:pos:R:3 comment="CaThPt2 (PBE, relaxed)" crystal_system=cubic pbc="T T T"
Ca 0.0000 0.0000 0.0000
Th 3.5672 3.5672 3.5672
Pt 1.7836 1.7836 1.7836
Pt 5.3508 5.3508 5.3508

Arrangement R

4
Lattice="4.5133 0.0000 0.0000 0.0000 1.9415 5.3972 0.0000 -1.9415 5.3972" Properties=species:S:1:pos:R:3 comment="CaThPt2 (PBE, relaxed)" crystal_system=orthorhombic pbc="T T T"
Ca 0.0000 0.0000 0.0000
Th 2.2567 0.0000 2.9503
Pt 0.0000 0.0000 7.8677
Pt 2.2567 0.0000 5.9572

Arrangement S

4
Lattice="2.4671 1.4244 6.4610 -2.4671 1.4244 6.4610 0.0000 -2.8488 6.4610" Properties=species:S:1:pos:R:3 comment="CaThPt2 (PBE, relaxed)" crystal_system=trigonal pbc="T T T"
Ca 0.0000 0.0000 0.0000
Th 0.0000 0.0000 9.6916
Pt 0.0000 0.0000 2.7925
Pt 0.0000 0.0000 16.5906

Most stable: arrangement R (next structure +5.9 kJ/mol of atoms)

Arrangement P

4
Lattice="-2.2752 2.2752 4.6518 2.2752 -2.2752 4.6518 2.2752 2.2752 -4.6518" Properties=species:S:1:pos:R:3 comment="Ca2TlPt (PBE, relaxed)" crystal_system=tetragonal pbc="T T T"
Ca 0.0000 0.0000 0.0000
Ca 0.0000 2.2752 2.3259
Tl 0.0000 0.0000 4.6518
Pt 2.2752 0.0000 2.3259

Arrangement Q

4
Lattice="0.0000 3.6677 3.6677 3.6677 0.0000 3.6677 3.6677 3.6677 0.0000" Properties=species:S:1:pos:R:3 comment="Ca2TlPt (PBE, relaxed)" crystal_system=cubic pbc="T T T"
Ca 1.8338 1.8338 1.8338
Ca 5.5015 5.5015 5.5015
Tl 0.0000 0.0000 0.0000
Pt 3.6677 3.6677 3.6677

Most stable: arrangement Q (next structure +11.8 kJ/mol of atoms)

Arrangement P

4
Lattice="0.0000 3.5860 3.5860 3.5860 0.0000 3.5860 3.5860 3.5860 0.0000" Properties=species:S:1:pos:R:3 comment="Ca2TlPt (PBE, relaxed)" crystal_system=cubic pbc="T T T"
Ca 0.0000 0.0000 0.0000
Ca 1.7930 1.7930 1.7930
Tl 3.5860 3.5860 3.5860
Pt 5.3790 5.3790 5.3790

Arrangement Q

4
Lattice="3.5939 0.0000 0.0000 0.0000 3.5611 0.0000 -0.0077 0.0000 7.9072" Properties=species:S:1:pos:R:3 comment="Ca2TlPt (PBE, relaxed)" crystal_system=monoclinic pbc="T T T"
Ca -0.0011 0.0000 1.6698
Ca 3.5874 0.0000 6.2374
Tl 1.7931 1.7806 3.9536
Pt 1.7969 1.7806 0.0000

Arrangement R

8
Lattice="-4.1150 4.1150 3.3828 4.1150 -4.1150 3.3828 4.1150 4.1150 -3.3828" Properties=species:S:1:pos:R:3 comment="Ca2TlPt (PBE, relaxed)" crystal_system=tetragonal pbc="T T T"
Ca 6.1725 1.6514 -0.8457
Ca 1.6514 2.0575 0.8457
Ca -2.0575 2.4636 2.5371
Ca 2.4636 2.0575 4.2285
Tl 4.1150 0.0000 1.6914
Tl 0.0000 0.0000 3.3828
Pt 0.0000 0.0000 0.0000
Pt 0.0000 4.1150 1.6914

Arrangement S

4
Lattice="6.6556 -1.7810 0.0000 6.6556 1.7810 0.0000 -1.7765 0.0000 4.5418" Properties=species:S:1:pos:R:3 comment="Ca2TlPt (PBE, relaxed)" crystal_system=monoclinic pbc="T T T"
Ca 0.0000 0.0000 0.0000
Ca 1.4674 0.0000 3.1977
Tl 10.3010 0.0000 1.4300
Pt 5.8692 0.0000 2.3134

Most stable: arrangement Q (next structure +12.0 kJ/mol of atoms)

Arrangement P

10
Lattice="7.5515 0.0000 0.0000 0.0000 7.5515 0.0000 0.0000 0.0000 3.9116" Properties=species:S:1:pos:R:3 comment="CaTl2Pt2 (PBE, relaxed)" crystal_system=tetragonal pbc="T T T"
Ca 0.0000 0.0000 0.0000
Ca 3.7758 3.7758 0.0000
Tl 1.2633 2.5125 1.9558
Tl 2.5125 6.2882 1.9558
Tl 5.0391 1.2633 1.9558
Tl 6.2882 5.0391 1.9558
Pt 0.9842 4.7600 0.0000
Pt 2.7916 0.9842 0.0000
Pt 4.7600 6.5673 0.0000
Pt 6.5673 2.7916 0.0000

Arrangement Q

10
Lattice="8.0879 0.0000 0.0000 0.0000 8.0879 0.0000 0.0000 0.0000 3.3483" Properties=species:S:1:pos:R:3 comment="CaTl2Pt2 (PBE, relaxed)" crystal_system=tetragonal pbc="T T T"
Ca 0.0000 0.0000 0.0000
Ca 4.0439 4.0439 0.0000
Tl 1.0545 2.9895 0.0000
Tl 2.9895 7.0334 0.0000
Tl 5.0984 1.0545 0.0000
Tl 7.0334 5.0984 0.0000
Pt 1.3981 5.4420 1.6742
Pt 2.6459 1.3981 1.6742
Pt 5.4420 6.6898 1.6742
Pt 6.6898 2.6459 1.6742

Arrangement R

5
Lattice="-2.1923 2.1923 6.2500 2.1923 -2.1923 6.2500 2.1923 2.1923 -6.2500" Properties=species:S:1:pos:R:3 comment="CaTl2Pt2 (PBE, relaxed)" crystal_system=tetragonal pbc="T T T"
Ca 0.0000 0.0000 0.0000
Tl 2.1923 0.0000 3.1250
Tl 0.0000 2.1923 3.1250
Pt 0.0000 0.0000 4.9657
Pt 0.0000 0.0000 7.5342

Most stable: arrangement R (next structure +4.2 kJ/mol of atoms)

Arrangement P

10
Lattice="7.5074 0.0000 0.0000 0.0000 7.5074 0.0000 0.0000 0.0000 5.2471" Properties=species:S:1:pos:R:3 comment="Ca2Tl2Pt (PBE, relaxed)" crystal_system=tetragonal pbc="T T T"
Ca 1.2636 2.4901 0.0000
Ca 2.4901 6.2438 0.0000
Ca 5.0173 1.2636 0.0000
Ca 6.2438 5.0173 0.0000
Tl 1.1410 4.8947 2.6236
Tl 2.6127 1.1410 2.6236
Tl 4.8947 6.3663 2.6236
Tl 6.3663 2.6127 2.6236
Pt 0.0000 0.0000 0.0000
Pt 3.7537 3.7537 0.0000

Arrangement Q

10
Lattice="7.4724 0.0000 0.0000 0.0000 7.4724 0.0000 0.0000 0.0000 4.7619" Properties=species:S:1:pos:R:3 comment="Ca2Tl2Pt (PBE, relaxed)" crystal_system=tetragonal pbc="T T T"
Ca 1.2854 2.4508 0.0000
Ca 2.4508 6.1871 0.0000
Ca 5.0216 1.2854 0.0000
Ca 6.1871 5.0216 0.0000
Tl 1.0581 4.7943 2.3810
Tl 2.6781 1.0581 2.3810
Tl 4.7943 6.4143 2.3810
Tl 6.4143 2.6781 2.3810
Pt 0.0000 0.0000 2.3810
Pt 3.7362 3.7362 2.3810

Most stable: arrangement Q (next structure +9.9 kJ/mol of atoms)

Arrangement P

4
Lattice="2.0372 1.1762 9.0483 -2.0372 1.1762 9.0483 0.0000 -2.3523 9.0483" Properties=species:S:1:pos:R:3 comment="CaTm2Pt (PBE, relaxed)" crystal_system=trigonal pbc="T T T"
Ca 0.0000 0.0000 0.0000
Tm 0.0000 0.0000 14.9811
Tm 0.0000 0.0000 21.1400
Pt 0.0000 0.0000 4.4839

Arrangement Q

4
Lattice="2.0181 1.1651 9.2495 -2.0181 1.1651 9.2495 0.0000 -2.3303 9.2495" Properties=species:S:1:pos:R:3 comment="CaTm2Pt (PBE, relaxed)" crystal_system=trigonal pbc="T T T"
Ca 0.0000 0.0000 0.0000
Tm 0.0000 0.0000 6.1052
Tm 0.0000 0.0000 21.6434
Pt 0.0000 0.0000 13.8743

Most stable: arrangement P (next structure +1.0 kJ/mol of atoms)